<P>
## LuSiSn (PBE)

Data for a geometry-optimized LuSiSn structure.

Calculated values
Magnetization, μB per cell: 0.00

a b c (Å): 4.757 4.757 4.757
angles (deg): 60.00 60.00 60.00
Fractional positions:
Si (0.000, 0.000, 0.000)
Lu (0.250, 0.250, 0.250)
Sn (0.750, 0.750, 0.750)

=====

<Q>
## LuSiSn (PBE)

Data for a geometry-optimized LuSiSn structure.

Calculated values
Magnetization, μB per cell: 0.00

a b c (Å): 4.830 4.830 4.830
angles (deg): 60.00 60.00 60.00
Fractional positions:
Lu (0.000, 0.000, 0.000)
Sn (0.750, 0.750, 0.750)
Si (0.250, 0.250, 0.250)

=====

Stability, descending: <P>, <Q>

=====

<P>
## SmLu2 (PBE)

Data for a geometry-optimized SmLu2 structure.

Calculated values
Magnetization, μB per cell: 10.02

a b c (Å): 10.214 10.214 10.214
angles (deg): 60.00 60.00 60.00
Each line ends with the local moment (μB).
Fractional positions:
Sm (0.250, 0.250, 0.250)  1.07
Sm (0.000, 0.000, 0.000)  1.07
Lu (0.125, 0.125, 0.625)  0.70
Lu (0.125, 0.125, 0.125)  0.72
Lu (0.125, 0.625, 0.125)  0.72
Lu (0.625, 0.125, 0.125)  0.82

=====

<Q>
## SmLu2 (PBE)

Data for a geometry-optimized SmLu2 structure.

Calculated values
Magnetization, μB per cell: 6.00

a b c (Å): 6.571 6.571 6.571
angles (deg): 60.00 60.00 60.00
Each line ends with the local moment (μB).
Fractional positions:
Lu (0.625, 0.625, 0.625)  0.52
Sm (0.000, 0.000, 0.000)  0.55
Lu (0.625, 0.125, 0.625)  0.51
Sm (0.250, 0.250, 0.250)  0.55
Lu (0.625, 0.625, 0.125)  0.49
Lu (0.125, 0.625, 0.625)  0.58

=====

Stability, descending: <Q>, <P>

=====

<P>
## LuTcSn2 (PBE)

Data for a geometry-optimized LuTcSn2 structure.

Calculated values
Magnetization, μB per cell: 0.00

a b c (Å): 4.431 4.431 4.431
angles (deg): 60.00 60.00 60.00
Fractional positions:
Lu (0.750, 0.750, 0.750)
Sn (0.500, 0.500, 0.500)
Tc (0.000, 0.000, 0.000)
Sn (0.250, 0.250, 0.250)

=====

<Q>
## LuTcSn2 (PBE)

Data for a geometry-optimized LuTcSn2 structure.

Calculated values
Magnetization, μB per cell: 0.00

a b c (Å): 4.433 4.433 4.433
angles (deg): 60.00 60.00 60.00
Fractional positions:
Sn (0.750, 0.750, 0.750)
Sn (0.000, 0.000, 0.000)
Lu (0.250, 0.250, 0.250)
Tc (0.500, 0.500, 0.500)

=====

Stability, descending: <Q>, <P>

=====

<P>
## YLuZn2Sn2 (PBE)

Data for a geometry-optimized YLuZn2Sn2 structure.

Calculated values
Magnetization, μB per cell: 0.00

a b c (Å): 4.498 4.498 15.561
angles (deg): 90.00 90.00 120.00
Fractional positions:
Sn (0.333, 0.667, 0.390)
Lu (0.000, 0.000, 0.000)
Sn (0.333, 0.667, 0.110)
Zn (0.667, 0.333, 0.341)
Lu (0.000, 0.000, 0.500)
Y (0.000, 0.000, 0.250)
Y (0.000, 0.000, 0.750)
Zn (0.333, 0.667, 0.659)
Zn (0.333, 0.667, 0.841)
Sn (0.667, 0.333, 0.610)
Sn (0.667, 0.333, 0.890)
Zn (0.667, 0.333, 0.159)

=====

<Q>
## YLuZn2Sn2 (PBE)

Data for a geometry-optimized YLuZn2Sn2 structure.

Calculated values
Magnetization, μB per cell: 0.00

a b c (Å): 4.478 4.478 15.689
angles (deg): 90.00 90.00 120.00
Fractional positions:
Sn (0.667, 0.333, 0.885)
Zn (0.333, 0.667, 0.662)
Lu (0.000, 0.000, 0.750)
Zn (0.667, 0.333, 0.338)
Lu (0.000, 0.000, 0.250)
Y (0.000, 0.000, 0.500)
Y (0.000, 0.000, 0.000)
Sn (0.667, 0.333, 0.615)
Sn (0.333, 0.667, 0.115)
Zn (0.333, 0.667, 0.838)
Sn (0.333, 0.667, 0.385)
Zn (0.667, 0.333, 0.162)

=====

Stability, descending: <Q>, <P>

=====

<P>
## LuTa (PBE)

Data for a geometry-optimized LuTa structure.

Calculated values
Magnetization, μB per cell: 2.65

a b c (Å): 4.599 4.599 4.599
angles (deg): 60.00 60.00 60.00
Each line ends with the local moment (μB).
Fractional positions:
Ta (0.250, 0.250, 0.250)  1.50
Lu (0.000, 0.000, 0.000)  0.67

=====

<Q>
## LuTa (PBE)

Data for a geometry-optimized LuTa structure.

Calculated values
Magnetization, μB per cell: 0.18

a b c (Å): 4.126 4.126 4.126
angles (deg): 60.00 60.00 60.00
Each line ends with the local moment (μB).
Fractional positions:
Lu (0.000, 0.000, 0.000)  0.04
Ta (0.500, 0.500, 0.500)  0.10

=====

Stability, descending: <Q>, <P>

=====

<P>
## TbLu (PBE)

Data for a geometry-optimized TbLu structure.

Calculated values
Magnetization, μB per cell: 0.73

a b c (Å): 4.540 4.540 4.540
angles (deg): 60.00 60.00 60.00
Each line ends with the local moment (μB).
Fractional positions:
Lu (0.000, 0.000, 0.000)  0.27
Tb (0.500, 0.500, 0.500)  0.31

=====

<Q>
## TbLu (PBE)

Data for a geometry-optimized TbLu structure.

Calculated values
Magnetization, μB per cell: 0.19

a b c (Å): 4.881 4.881 4.881
angles (deg): 60.00 60.00 60.00
Each line ends with the local moment (μB).
Fractional positions:
Lu (0.000, 0.000, 0.000)  0.07
Tb (0.250, 0.250, 0.250)  0.08

=====

Stability, descending: <P>, <Q>

=====

<P>
## TbLuTlTe3 (PBE)

Data for a geometry-optimized TbLuTlTe3 structure.

Calculated values
Magnetization, μB per cell: 0.02

a b c (Å): 9.694 9.694 10.004
angles (deg): 103.15 103.15 25.94
Fractional positions:
Te (0.663, 0.663, 0.848)
Tb (0.170, 0.170, 0.075)
Te (0.665, 0.665, 0.291)
Te (0.337, 0.337, 0.152)
Lu (0.502, 0.502, 0.209)
Tl (0.856, 0.856, 0.445)
Te (0.000, 0.000, 0.000)
Tl (0.144, 0.144, 0.555)
Lu (0.498, 0.498, 0.791)
Te (0.335, 0.335, 0.709)
Te (0.500, 0.500, 0.500)
Tb (0.830, 0.830, 0.925)

=====

<Q>
## TbLuTlTe3 (PBE)

Data for a geometry-optimized TbLuTlTe3 structure.

Calculated values
Magnetization, μB per cell: 0.19

a b c (Å): 7.992 7.992 11.986
angles (deg): 90.00 90.00 147.84
Fractional positions:
Lu (0.559, 0.441, 0.750)
Tl (0.752, 0.248, 0.250)
Te (0.066, 0.934, 0.250)
Te (0.642, 0.358, 0.534)
Te (0.358, 0.642, 0.466)
Te (0.934, 0.066, 0.750)
Te (0.642, 0.358, 0.966)
Tb (0.000, 0.000, 0.000)
Te (0.358, 0.642, 0.034)
Tl (0.248, 0.752, 0.750)
Tb (0.000, 0.000, 0.500)
Lu (0.441, 0.559, 0.250)

=====

<R>
## TbLuTlTe3 (PBE)

Data for a geometry-optimized TbLuTlTe3 structure.

Calculated values
Magnetization, μB per cell: 0.75

a b c (Å): 7.944 7.944 11.926
angles (deg): 90.00 90.00 148.05
Each line ends with the local moment (μB).
Fractional positions:
Te (0.434, 0.566, 0.750)  0.00
Tb (0.932, 0.068, 0.250)  0.11
Te (0.566, 0.434, 0.250)  0.00
Te (0.860, 0.140, 0.478)  0.00
Te (0.140, 0.860, 0.522)  0.00
Lu (0.500, 0.500, 0.500)  0.04
Tl (0.749, 0.251, 0.750)  0.03
Te (0.140, 0.860, 0.978)  0.00
Te (0.860, 0.140, 0.022)  0.00
Lu (0.500, 0.500, 0.000)  0.05
Tl (0.251, 0.749, 0.250)  0.03
Tb (0.068, 0.932, 0.750)  0.10

=====

Stability, descending: <P>, <Q>, <R>

=====

<P>
## LuTcTe (PBE)

Data for a geometry-optimized LuTcTe structure.

Calculated values
Magnetization, μB per cell: 0.02

a b c (Å): 4.712 4.712 4.712
angles (deg): 60.00 60.00 60.00
Fractional positions:
Lu (0.000, 0.000, 0.000)
Te (0.750, 0.750, 0.750)
Tc (0.250, 0.250, 0.250)

=====

<Q>
## LuTcTe (PBE)

Data for a geometry-optimized LuTcTe structure.

Calculated values
Magnetization, μB per cell: 0.05

a b c (Å): 4.575 4.575 4.575
angles (deg): 60.00 60.00 60.00
Fractional positions:
Lu (0.250, 0.250, 0.250)
Tc (0.000, 0.000, 0.000)
Te (0.750, 0.750, 0.750)

=====

Stability, descending: <Q>, <P>